A plane-wave DFT calculation with PBE was carried out for an optimized crystal structure of Cs3K4CdH8.

```
16
Lattice="7.160 -4.108 0.000 7.160 4.108 0.000 -4.559 0.000 6.718" Properties=species:S:1:pos:R:3 pbc="T T T"
Cs 0.000 0.000 0.000
Cs 3.580 2.054 0.000
Cs 3.580 -2.054 0.000
K -2.280 0.000 3.359
K 1.300 2.054 3.359
K 1.300 -2.054 3.359
K 4.880 0.000 3.359
Cd 7.160 0.000 0.000
H 0.047 0.000 4.720
H 2.475 0.000 1.935
H 3.394 1.455 5.440
H 6.366 1.455 1.278
H 3.394 -1.455 5.440
H 6.366 -1.455 1.278
H 7.286 0.000 4.783
H 9.713 0.000 1.997
```

Results
* space group: C2/m, No. 12
* spin magnetization: 0.0 μB per formula unit
* VASP energy: -2.22 eV per atom
* V: 395 Å³/cell



A plane-wave DFT calculation with PBE was carried out for an optimized crystal structure of CoTc2TeOs.

```
5
Lattice="4.745 0.000 0.000 0.000 4.745 0.000 0.000 0.000 4.528" Properties=species:S:1:pos:R:3 pbc="T T T"
Co 0.000 0.000 0.000
Tc 0.000 2.372 2.264
Tc 2.372 0.000 2.264
Te 2.372 2.372 0.000
Os 0.000 0.000 2.264
```

Results
* formation energy from raw total energies: 1477 meV per atom
* space group: P4/mmm, No. 123
* spin magnetization: 2.6 μB per formula unit
* V: 102 Å³/cell



A plane-wave DFT calculation with PBE was carried out for an optimized crystal structure of Sm2YSe2S2.

```
7
Lattice="-2.538 2.538 7.389 2.538 -2.538 7.389 2.538 2.538 -7.389" Properties=species:S:1:pos:R:3 pbc="T T T"
Sm 0.000 0.000 1.799
Sm 0.000 0.000 12.980
Y 0.000 0.000 7.389
Se 0.000 0.000 4.609
Se 0.000 0.000 10.169
S 2.538 0.000 0.000
S 0.000 2.538 0.000
```

Results
* formation energy from raw total energies: -1572 meV per atom
* space group: I4/mmm, No. 139
* spin magnetization: 0.0 μB per formula unit
* V: 190 Å³/cell



A plane-wave DFT calculation with PBE was carried out for an optimized crystal structure of RbH2Os.

```
4
Lattice="0.000 3.097 3.097 3.097 0.000 3.097 3.097 3.097 0.000" Properties=species:S:1:pos:R:3 pbc="T T T"
Rb 0.000 0.000 0.000
H 1.548 1.548 1.548
H 4.645 4.645 4.645
Os 3.097 3.097 3.097
```

Results
* space group: Fm-3m, No. 225
* offset from the most stable computed form: 485 kJ/mol of formula units
* spin magnetization: 2.3 μB per formula unit
* V: 59 Å³/cell



A plane-wave DFT calculation with PBE was carried out for an optimized crystal structure of Th2V2N5.

```
18
Lattice="0.000 3.967 7.861 3.840 0.000 7.861 3.840 3.967 0.000" Properties=species:S:1:pos:R:3 pbc="T T T"
Th 3.840 1.869 5.633
Th 3.840 1.869 10.090
Th 3.840 6.065 5.633
Th 3.840 6.065 10.090
V 1.920 0.000 3.931
V 5.180 3.967 7.861
V 1.920 3.967 3.931
V 2.500 3.967 7.861
N 5.926 3.967 6.174
N 1.920 1.984 3.931
N 3.840 3.967 4.049
N 3.840 2.570 7.861
N 5.926 3.967 9.549
N 1.754 3.967 6.174
N 3.840 5.364 7.861
N 3.840 3.967 11.674
N 5.760 5.951 11.792
N 1.754 3.967 9.549
```

Results
* formation energy from raw total energies: -1317 meV per atom
* space group: Fmmm, No. 69
* spin magnetization: 0.0 μB per formula unit
* V: 240 Å³/cell



A plane-wave DFT calculation with PBE was carried out for an optimized crystal structure of KSrAs2.

```
4
Lattice="4.081 0.000 0.000 0.000 4.321 0.000 -0.012 0.000 7.124" Properties=species:S:1:pos:R:3 pbc="T T T"
K 0.000 0.000 0.000
Sr -0.006 0.000 3.562
As 2.035 2.161 2.329
As 2.035 2.161 4.795
```

Results
* space group: P2/m, No. 10
* offset from the most stable computed form: 0 kJ/mol of formula units
* spin magnetization: 0.0 μB per formula unit
* energy of formation: -706 meV/atom
* V: 126 Å³/cell